*1*
{"formula": "Ag3HPd", "functional": "PBE", "state": "optimized geometry", "lattice": [[5.156, 0.000, 0.000], [0.000, 5.156, 0.000], [0.000, 0.000, 5.156]], "species": ["Ag", "Ag", "Pd", "Ag", "H"], "frac_coords": [[0.500, 0.000, 0.000], [0.000, 0.000, 0.500], [0.000, 0.000, 0.000], [0.000, 0.500, 0.000], [0.500, 0.500, 0.500]], "total_magnetization_mub_per_fu": 0.44}



*2*
{"formula": "Ag3HPd", "functional": "PBE", "state": "optimized geometry", "lattice": [[5.739, 0.000, 0.000], [-2.869, 4.616, 2.404], [0.000, 0.603, 5.714]], "species": ["H", "H", "Ag", "Pd", "Ag", "Ag", "Ag", "Ag", "Ag", "Pd"], "frac_coords": [[0.469, 0.501, 0.000], [0.968, 0.499, 0.000], [0.719, 0.500, 0.277], [0.218, 0.500, 0.221], [0.211, 0.986, 0.257], [0.726, 0.014, 0.743], [0.711, 0.986, 0.257], [0.218, 0.500, 0.723], [0.225, 0.014, 0.743], [0.718, 0.500, 0.779]], "total_magnetization_mub_per_fu": 0.00}



Of them, the most stable is *2* and the least stable is *1*.



*1*
{"formula": "AgH4Pd5", "functional": "PBE", "state": "optimized geometry", "lattice": [[2.902, 0.000, -0.593], [-0.737, 4.691, -3.604], [0.478, -2.169, 9.729]], "species": ["Pd", "Pd", "H", "H", "H", "Pd", "Ag", "Pd", "H", "Pd"], "frac_coords": [[0.163, 0.169, 0.327], [0.500, 0.500, 0.000], [0.088, 0.716, 0.175], [0.912, 0.284, 0.825], [0.747, 0.347, 0.495], [0.167, 0.671, 0.334], [0.500, 0.000, 0.000], [0.833, 0.329, 0.666], [0.253, 0.653, 0.505], [0.837, 0.831, 0.673]], "total_magnetization_mub_per_fu": 0.00}



*2*
{"formula": "AgH4Pd5", "functional": "PBE", "state": "optimized geometry", "lattice": [[-1.771, 3.988, -1.881], [-5.245, -1.844, 1.030], [0.193, 3.529, 7.299]], "species": ["H", "Pd", "Pd", "H", "H", "H", "Pd", "Pd", "H", "Pd", "Pd", "Pd", "Ag", "H", "Pd", "H", "Ag", "Pd", "H", "Pd"], "frac_coords": [[0.485, 0.715, 0.000], [0.235, 0.000, 0.500], [0.248, 0.750, 0.829], [0.043, 0.000, 0.290], [0.043, 0.000, 0.710], [0.957, 0.500, 0.210], [0.752, 0.750, 0.329], [0.765, 0.500, 0.000], [0.485, 0.285, 0.000], [0.752, 0.250, 0.329], [0.752, 0.250, 0.671], [0.752, 0.750, 0.671], [0.233, 0.500, 0.500], [0.957, 0.500, 0.790], [0.248, 0.250, 0.171], [0.515, 0.785, 0.500], [0.767, 0.000, 0.000], [0.248, 0.250, 0.829], [0.515, 0.215, 0.500], [0.248, 0.750, 0.171]], "total_magnetization_mub_per_fu": 0.00}



Of them, the most stable is *1* and the least stable is *2*.



*1*
{"formula": "AgH2Pd2", "functional": "PBE", "state": "optimized geometry", "lattice": [[5.559, -0.350, 0.000], [-2.887, 4.763, 0.000], [-1.336, -2.207, 4.304]], "species": ["Pd", "Ag", "Ag", "H", "H", "H", "Pd", "Pd", "Pd", "H"], "frac_coords": [[0.415, 0.915, 0.830], [0.500, 0.500, 0.000], [0.750, 0.250, 0.500], [0.135, 0.865, 0.000], [0.865, 0.135, 0.000], [0.385, 0.615, 0.500], [0.085, 0.585, 0.170], [0.835, 0.835, 0.670], [0.165, 0.165, 0.330], [0.115, 0.885, 0.500]], "total_magnetization_mub_per_fu": 0.00}



*2*
{"formula": "AgH2Pd2", "functional": "PBE", "state": "optimized geometry", "lattice": [[-2.421, -5.808, -0.314], [5.632, -2.425, 1.447], [-0.684, 0.129, 2.877]], "species": ["H", "Pd", "Pd", "H", "H", "Ag", "Pd", "H", "Ag", "Pd"], "frac_coords": [[0.236, 0.264, 0.000], [0.844, 0.344, 0.500], [0.344, 0.156, 0.500], [0.264, 0.764, 0.000], [0.736, 0.236, 0.000], [0.500, 0.500, 0.000], [0.156, 0.656, 0.500], [0.764, 0.736, 0.000], [0.000, 0.000, 0.000], [0.656, 0.844, 0.500]], "total_magnetization_mub_per_fu": 0.00}



Of them, the most stable is *1* and the least stable is *2*.